{
  "formula": "LaTaN",
  "functional": "PBE-GGA",
  "state": "relaxed",
  "mass_density_g_cm3": 9.1,
  "spacegroup": "No. 129",
  "formation_energy_uncorrected_ev_per_atom": -0.2427,
  "final_energy_ev_per_atom": -8.611,
  "cell": [[-1.909, 3.084, -0.339], [-1.143, -0.329, 3.444], [7.265, 4.814, 2.871]],
  "species": ["La", "La", "N", "N", "Ta", "Ta"],
  "frac_coords": [[0.000, 0.500, 0.806], [0.500, 0.000, 0.194], [0.000, 0.500, 0.338], [0.500, 0.000, 0.662], [0.500, 0.500, 0.500], [0.000, 0.000, 0.500]]
}


{
  "formula": "Rb2NaHg",
  "functional": "PBE-GGA",
  "state": "relaxed",
  "mass_density_g_cm3": 3.2,
  "spacegroup": "No. 123",
  "final_energy_ev_per_atom": -0.967,
  "formation_enthalpy_0k_kj_per_mol_atoms": -7.5,
  "cell": [[4.579, 0.000, 0.000], [0.000, 4.579, 0.000], [0.000, 0.000, 9.819]],
  "species": ["Na", "Hg", "Rb", "Rb"],
  "frac_coords": [[0.500, 0.500, 0.500], [0.500, 0.500, 0.000], [0.000, 0.000, 0.779], [0.000, 0.000, 0.221]]
}